Computed, not measured: a relaxed AcErIn2 crystal at the PBE level of DFT.

Results
Energy of formation = -346 meV/atom
M_tot = 0.00 μB/f.u.
Space-group type = P4/mmm, No. 123
Crystal system = tetragonal

abc: 5.228 5.228 4.494
angles: 90.00 90.00 90.00
Positions (direct):
Ac  0.000  0.000  0.000
Er  0.500  0.500  0.000
In  0.000  0.500  0.500
In  0.500  0.000  0.500

Computed, not measured: a relaxed Pm15Nd4Tm crystal at the PBE level of DFT.

Results
Energy of formation = 15 meV/atom
M_tot = 0.00 μB/f.u.
Space-group type = P4/mmm, No. 123
Crystal system = tetragonal

abc: 5.162 5.162 25.773
angles: 90.00 90.00 90.00
Positions (direct):
Pm  0.000  0.000  0.000
Pm  0.000  0.000  0.198
Pm  0.000  0.000  0.400
Pm  0.000  0.000  0.600
Pm  0.000  0.000  0.802
Pm  0.000  0.500  0.098
Pm  0.000  0.500  0.299
Pm  0.000  0.500  0.500
Pm  0.000  0.500  0.701
Pm  0.000  0.500  0.902
Pm  0.500  0.000  0.098
Pm  0.500  0.000  0.299
Pm  0.500  0.000  0.500
Pm  0.500  0.000  0.701
Pm  0.500  0.000  0.902
Nd  0.500  0.500  0.199
Nd  0.500  0.500  0.399
Nd  0.500  0.500  0.601
Nd  0.500  0.500  0.801
Tm  0.500  0.500  0.000

Computed, not measured: a relaxed Tb4DyHo2 crystal at the PBE level of DFT.

Results
Energy of formation = 136 meV/atom
M_tot = 0.00 μB/f.u.
Space-group type = P2_1/m, No. 11
Crystal system = monoclinic

abc: 6.098 6.523 11.497
angles: 90.00 105.13 90.00
Positions (direct):
Tb  0.026  0.250  0.358
Tb  0.149  0.250  0.945
Tb  0.349  0.504  0.213
Tb  0.349  0.996  0.213
Tb  0.651  0.004  0.787
Tb  0.651  0.496  0.787
Tb  0.851  0.750  0.055
Tb  0.974  0.750  0.642
Dy  0.156  0.250  0.660
Dy  0.844  0.750  0.340
Ho  0.288  0.750  0.928
Ho  0.395  0.750  0.503
Ho  0.605  0.250  0.497
Ho  0.712  0.250  0.072

Computed, not measured: a relaxed AcSN crystal at the PBE level of DFT.

Results
M_tot = 0.00 μB/f.u.
E_form (uncorrected) = -1413 meV/atom
Space-group type = P-1, No. 2
Crystal system = triclinic

abc: 4.458 5.557 6.155
angles: 82.77 87.89 71.62
Positions (direct):
Ac  0.172  0.240  0.229
Ac  0.828  0.760  0.771
S  0.166  0.169  0.724
S  0.834  0.831  0.276
N  0.387  0.547  0.937
N  0.613  0.453  0.063

Computed, not measured: a relaxed Pr2ZrPaAs4 crystal at the PBE level of DFT.

Results
Energy of formation = -1284 meV/atom
M_tot = 0.00 μB/f.u.
Space-group type = P2/m, No. 10
Crystal system = monoclinic

abc: 7.109 4.132 7.224
angles: 90.00 109.21 90.00
Positions (direct):
Pr  0.000  0.000  0.000
Pr  0.500  0.500  0.000
Zr  0.000  0.500  0.500
Pa  0.500  0.000  0.500
As  0.238  0.000  0.726
As  0.251  0.500  0.270
As  0.749  0.500  0.730
As  0.762  0.000  0.274

Computed, not measured: a relaxed Rb2Br2Cl5 crystal at the PBE level of DFT.

Results
M_tot = 1.03 μB/f.u.
E_form (uncorrected) = -862 meV/atom
Space-group type = C2/m, No. 12
Crystal system = monoclinic

abc: 9.867 9.867 8.185
angles: 114.00 114.00 27.01
Positions (direct):
Rb  0.091  0.091  0.352
Rb  0.909  0.909  0.648
Br  0.347  0.347  0.015
Br  0.653  0.653  0.985
Cl  0.287  0.287  0.693
Cl  0.414  0.414  0.338
Cl  0.500  0.500  0.000
Cl  0.586  0.586  0.662
Cl  0.713  0.713  0.307

Computed, not measured: a relaxed PmIn2ClO4 crystal at the PBE level of DFT.

Results
M_tot = 0.00 μB/f.u.
E_form (uncorrected) = -1808 meV/atom
Space-group type = P4/mmm, No. 123
Crystal system = tetragonal

abc: 3.963 3.963 8.811
angles: 90.00 90.00 90.00
Positions (direct):
Pm  0.000  0.000  0.000
In  0.500  0.500  0.255
In  0.500  0.500  0.745
Cl  0.000  0.000  0.500
O  0.000  0.500  0.165
O  0.000  0.500  0.835
O  0.500  0.000  0.165
O  0.500  0.000  0.835

Computed, not measured: a relaxed Ta2BeCd crystal at the PBE level of DFT.

Results
Energy of formation = 381 meV/atom
M_tot = 0.00 μB/f.u.
Space-group type = R3m, No. 160
Crystal system = trigonal

abc: 2.896 2.896 28.304
angles: 90.00 90.00 120.00
Positions (direct):
Ta  0.000  0.000  0.000
Ta  0.000  0.000  0.243
Ta  0.333  0.667  0.667
Ta  0.333  0.667  0.909
Ta  0.667  0.333  0.333
Ta  0.667  0.333  0.576
Be  0.000  0.000  0.503
Be  0.333  0.667  0.170
Be  0.667  0.333  0.836
Cd  0.000  0.000  0.760
Cd  0.333  0.667  0.427
Cd  0.667  0.333  0.094

Computed, not measured: a relaxed CaTcHg2 crystal at the PBE level of DFT.

Results
Energy of formation = 282 meV/atom
M_tot = 1.65 μB/f.u.
Space-group type = Fm-3m, No. 225
Crystal system = cubic

abc: 7.029 7.029 7.029
angles: 90.00 90.00 90.00
Positions (direct):
Ca  0.000  0.000  0.000
Ca  0.000  0.500  0.500
Ca  0.500  0.000  0.500
Ca  0.500  0.500  0.000
Tc  0.000  0.000  0.500
Tc  0.000  0.500  0.000
Tc  0.500  0.000  0.000
Tc  0.500  0.500  0.500
Hg  0.250  0.250  0.250
Hg  0.250  0.250  0.750
Hg  0.250  0.750  0.250
Hg  0.250  0.750  0.750
Hg  0.750  0.250  0.250
Hg  0.750  0.250  0.750
Hg  0.750  0.750  0.250
Hg  0.750  0.750  0.750

Computed, not measured: a relaxed SmHfGe2O8 crystal at the PBE level of DFT.

Results
M_tot = 0.83 μB/f.u.
E_form (uncorrected) = -2343 meV/atom
Space-group type = I-4m2, No. 119
Crystal system = tetragonal

abc: 5.889 5.889 5.889
angles: 107.28 107.28 113.94
Positions (direct):
Sm  0.000  0.000  0.000
Hf  0.750  0.250  0.500
Ge  0.250  0.750  0.500
Ge  0.500  0.500  0.000
O  0.052  0.378  0.325
O  0.052  0.727  0.675
O  0.127  0.322  0.804
O  0.273  0.948  0.325
O  0.518  0.322  0.196
O  0.622  0.948  0.675
O  0.678  0.482  0.804
O  0.678  0.873  0.196

Computed, not measured: a relaxed TaCr2Au crystal at the PBE level of DFT.

Results
Energy of formation = 337 meV/atom
M_tot = 0.01 μB/f.u.
Space-group type = Immm, No. 71
Crystal system = orthorhombic

abc: 3.686 4.130 7.844
angles: 90.00 90.00 90.00
Positions (direct):
Ta  0.000  0.000  0.000
Ta  0.500  0.500  0.500
Cr  0.000  0.500  0.259
Cr  0.000  0.500  0.741
Cr  0.500  0.000  0.241
Cr  0.500  0.000  0.759
Au  0.000  0.000  0.500
Au  0.500  0.500  0.000

Computed, not measured: a relaxed Tl3AsF6 crystal at the PBE level of DFT.

Results
M_tot = 0.00 μB/f.u.
E_form (uncorrected) = -1869 meV/atom
Space-group type = Fmmm, No. 69
Crystal system = orthorhombic

abc: 7.345 6.934 6.198
angles: 67.74 60.90 51.35
Positions (direct):
Tl  0.000  0.000  0.000
Tl  0.250  0.250  0.250
Tl  0.750  0.750  0.750
As  0.500  0.500  0.500
F  0.186  0.557  0.814
F  0.280  0.720  0.280
F  0.443  0.814  0.557
F  0.557  0.186  0.443
F  0.720  0.280  0.720
F  0.814  0.443  0.186